Entry 1:
Below is a PBEsol-optimized structure of Rb2NaAg, with properties calculated at the meta-GGA SCAN level.

Summary:
Calculated formation energy = 144 meV per atom
Fermi-level density of states = 1.1 states/eV/cell

Unit cell a=6.2273 b=6.2273 c=6.2273 alpha=60.00 beta=60.00 gamma=60.00
Last column: nearest neighbours and their distance in Å.
Fractional positions:
Ag (0.5000, 0.5000, 0.5000)  8 Rb 3.81
Rb (0.2500, 0.2500, 0.2500)  4 Ag 3.81, 4 Na 3.81
Rb (0.7500, 0.7500, 0.7500)  4 Na 3.81, 4 Ag 3.81
Na (0.0000, 0.0000, 0.0000)  8 Rb 3.81

---

Entry 2:
Below is a PBEsol-optimized structure of RbNa3Ag, with properties calculated at the meta-GGA SCAN level.

Summary:
Calculated formation energy = 50 meV per atom
Fermi-level density of states = 2.3 states/eV/cell

Unit cell a=5.8425 b=5.8425 c=5.8425 alpha=90.00 beta=90.00 gamma=90.00
Last column: nearest neighbours and their distance in Å.
Fractional positions:
Ag (0.0000, 0.0000, 0.0000)  6 Na 2.92
Na (0.5000, 0.0000, 0.0000)  2 Ag 2.92
Na (0.0000, 0.0000, 0.5000)  2 Ag 2.92
Na (0.0000, 0.5000, 0.0000)  2 Ag 2.92
Rb (0.5000, 0.5000, 0.5000)  12 Na 4.13

---

Entry 3:
Below is a PBEsol-optimized structure of Rb3NaAg, with properties calculated at the meta-GGA SCAN level.

Summary:
Calculated formation energy = 423 meV per atom
Fermi-level density of states = 4.0 states/eV/cell

Unit cell a=6.9870 b=6.9870 c=6.9870 alpha=90.00 beta=90.00 gamma=90.00
Last column: nearest neighbours and their distance in Å.
Fractional positions:
Rb (0.0000, 0.5000, 0.0000)  2 Na 3.49
Rb (0.5000, 0.0000, 0.0000)  2 Na 3.49
Rb (0.0000, 0.0000, 0.5000)  2 Na 3.49
Ag (0.5000, 0.5000, 0.5000)  12 Rb 4.94
Na (0.0000, 0.0000, 0.0000)  6 Rb 3.49

---

Entry 4:
Below is a PBEsol-optimized structure of NaAg2RhW, with properties calculated at the meta-GGA SCAN level.

Summary:
Calculated formation energy = 1939 meV per atom
Fermi-level density of states = 4.5 states/eV/cell

Unit cell a=4.6903 b=4.8953 c=4.8953 alpha=90.00 beta=90.00 gamma=90.00
Last column: nearest neighbours and their distance in Å.
Fractional positions:
Na (0.5000, 0.0000, 0.0000)  2 Rh 2.35
Rh (0.0000, 0.0000, 0.0000)  2 Na 2.35, 4 Ag 2.45
W (0.5000, 0.5000, 0.5000)  8 Ag 3.39, 4 Na 3.46
Ag (0.0000, 0.5000, 0.0000)  2 Rh 2.45
Ag (0.0000, 0.0000, 0.5000)  2 Rh 2.45

---

Entry 5:
Below is a PBEsol-optimized structure of NaAg3Ru, with properties calculated at the meta-GGA SCAN level.

Summary:
Calculated formation energy = 1404 meV per atom
Fermi-level density of states = 2.2 states/eV/cell

Unit cell a=4.5765 b=4.5765 c=4.5765 alpha=90.00 beta=90.00 gamma=90.00
Last column: nearest neighbours and their distance in Å.
Fractional positions:
Ag (0.5000, 0.0000, 0.0000)  2 Na 2.29
Ag (0.0000, 0.5000, 0.0000)  2 Na 2.29
Ag (0.0000, 0.0000, 0.5000)  2 Na 2.29
Ru (0.5000, 0.5000, 0.5000)  12 Ag 3.24
Na (0.0000, 0.0000, 0.0000)  6 Ag 2.29

---

Entry 6:
Below is a PBEsol-optimized structure of Na2Ag2Ru, with properties calculated at the meta-GGA SCAN level.

Summary:
Calculated formation energy = 795 meV per atom
Fermi-level density of states = 4.2 states/eV/cell

Unit cell a=3.6234 b=3.6234 c=8.8848 alpha=101.77 beta=101.77 gamma=90.00
Last column: nearest neighbours and their distance in Å.
Fractional positions:
Na (0.6014, 0.6014, 0.2028)  4 Ru 3.09, 4 Ag 3.11, 1 Na 3.45
Na (0.3986, 0.3986, 0.7972)  4 Ru 3.09, 4 Ag 3.11, 1 Na 3.45
Ag (0.7500, 0.2500, 0.5000)  4 Ag 2.56
Ag (0.2500, 0.7500, 0.5000)  4 Ag 2.56
Ru (0.0000, 0.0000, 0.0000)  8 Na 3.09

---

Entry 7:
Below is a PBEsol-optimized structure of Na3AgTe2S6, with properties calculated at the meta-GGA SCAN level.

Summary:
Formation energy from raw total energies = -0.62 eV/atom

Unit cell a=5.7488 b=8.0661 c=11.9512 alpha=90.00 beta=90.00 gamma=91.97
Last column: nearest neighbours and their distance in Å.
Fractional positions:
Na (0.7635, 0.1256, 0.7423)  6 S 2.80-3.13
Na (0.2365, 0.8744, 0.2423)  6 S 2.80-3.13
Na (0.2612, 0.8906, 0.5786)  6 S 2.84-3.00
Na (0.2494, 0.3841, 0.9174)  6 S 2.84-2.90
Na (0.7506, 0.6159, 0.4174)  6 S 2.84-2.90
Na (0.7388, 0.1094, 0.0786)  6 S 2.84-3.00
Te (0.2177, 0.9179, 0.9071)  3 S 2.37-2.42
Te (0.7824, 0.5687, 0.0893)  3 S 2.37-2.41
Te (0.7823, 0.0821, 0.4071)  3 S 2.37-2.42
Te (0.2176, 0.4313, 0.5893)  3 S 2.37-2.41
S (0.7467, 0.3927, 0.9313)  1 Te 2.37
S (0.8033, 0.8579, 0.8968)  1 Te 2.42, 1 Ag 2.51
S (0.7338, 0.8819, 0.2605)  1 Te 2.39
S (0.2390, 0.0986, 0.0633)  1 Te 2.37
S (0.8011, 0.4147, 0.6108)  1 Te 2.41, 1 Ag 2.54
S (0.7610, 0.9014, 0.5633)  1 Te 2.37
S (0.2533, 0.6073, 0.4313)  1 Te 2.37
S (0.2799, 0.6263, 0.7390)  1 Te 2.40, 1 Ag 2.52
S (0.2662, 0.1181, 0.7605)  1 Te 2.39
S (0.1989, 0.5853, 0.1108)  1 Te 2.41, 1 Ag 2.54
S (0.7201, 0.3737, 0.2390)  1 Te 2.40, 1 Ag 2.52
S (0.1967, 0.1421, 0.3968)  1 Te 2.42, 1 Ag 2.51
Ag (0.7143, 0.6235, 0.7635)  4 S 2.51-2.75
Ag (0.2857, 0.3765, 0.2635)  4 S 2.51-2.75

---

Entry 8:
Below is a PBEsol-optimized structure of NaTc2AgSb, with properties calculated at the meta-GGA SCAN level.

Summary:
Formation energy from raw total energies = 2.08 eV/atom
Fermi-level density of states = 3.1 states/eV/cell

Unit cell a=4.6013 b=4.6013 c=4.8914 alpha=90.00 beta=90.00 gamma=90.00
Last column: nearest neighbours and their distance in Å.
Fractional positions:
Tc (0.5000, 0.0000, 0.0000)  2 Na 2.30
Tc (0.0000, 0.5000, 0.0000)  2 Na 2.30
Ag (0.5000, 0.5000, 0.5000)  4 Sb 3.25, 8 Tc 3.36
Sb (0.0000, 0.0000, 0.5000)  2 Na 2.45
Na (0.0000, 0.0000, 0.0000)  4 Tc 2.30, 2 Sb 2.45

---

Entry 9:
Below is a PBEsol-optimized structure of NaScAg3, with properties calculated at the meta-GGA SCAN level.

Summary:
Calculated formation energy = 606 meV per atom
Fermi-level density of states = 2.0 states/eV/cell

Unit cell a=5.1619 b=5.1619 c=5.1619 alpha=90.00 beta=90.00 gamma=90.00
Last column: nearest neighbours and their distance in Å.
Fractional positions:
Sc (0.0000, 0.0000, 0.0000)  6 Ag 2.58
Na (0.5000, 0.5000, 0.5000)  12 Ag 3.65
Ag (0.5000, 0.0000, 0.0000)  2 Sc 2.58
Ag (0.0000, 0.5000, 0.0000)  2 Sc 2.58
Ag (0.0000, 0.0000, 0.5000)  2 Sc 2.58

---

Entry 10:
Below is a PBEsol-optimized structure of NaScAg2, with properties calculated at the meta-GGA SCAN level.

Summary:
Calculated formation energy = -49 meV per atom
Fermi-level density of states = 3.2 states/eV/cell

Unit cell a=4.7891 b=4.7891 c=4.7891 alpha=60.00 beta=60.00 gamma=60.00
Last column: nearest neighbours and their distance in Å.
Fractional positions:
Na (0.0000, 0.0000, 0.0000)  8 Ag 2.93
Ag (0.7500, 0.7500, 0.7500)  4 Sc 2.93, 4 Na 2.93
Ag (0.2500, 0.2500, 0.2500)  4 Na 2.93, 4 Sc 2.93
Sc (0.5000, 0.5000, 0.5000)  8 Ag 2.93

---

Entry 11:
Below is a PBEsol-optimized structure of NaAgSe2, with properties calculated at the meta-GGA SCAN level.

Summary:
Formation energy from raw total energies = -0.41 eV/atom
Fermi-level density of states = 2.2 states/eV/cell

Unit cell a=5.7802 b=6.1498 c=6.1498 alpha=77.24 beta=61.97 gamma=61.97
Last column: nearest neighbours and their distance in Å.
Fractional positions:
Ag (0.0000, 0.0000, 0.0000)  4 Se 2.60, 2 Na 2.89
Ag (0.7500, 0.5000, 0.5000)  4 Se 2.60, 2 Na 2.89
Se (0.8750, 0.4580, 0.0420)  2 Ag 2.60
Se (0.3750, 0.5420, 0.9580)  2 Ag 2.60
Se (0.0830, 0.0420, 0.5420)  2 Ag 2.60
Se (0.6670, 0.9580, 0.4580)  2 Ag 2.60
Na (0.2500, 0.5000, 0.5000)  2 Ag 2.89, 4 Se 3.04
Na (0.5000, 0.0000, 0.0000)  2 Ag 2.89, 4 Se 3.04

---

Entry 12:
Below is a PBEsol-optimized structure of Na2AgSe2, with properties calculated at the meta-GGA SCAN level.

Summary:
Formation energy from raw total energies = -0.70 eV/atom
Fermi-level density of states = 2.2 states/eV/cell

Unit cell a=4.3031 b=7.1466 c=7.1466 alpha=90.00 beta=90.00 gamma=90.00
Last column: nearest neighbours and their distance in Å.
Fractional positions:
Se (0.0000, 0.3385, 0.8385)  2 Ag 2.68, 2 Na 2.89
Se (0.0000, 0.8385, 0.6615)  2 Ag 2.68, 2 Na 2.89
Se (0.0000, 0.1615, 0.3385)  2 Ag 2.68, 2 Na 2.89
Se (0.0000, 0.6615, 0.1615)  2 Ag 2.68, 2 Na 2.89
Na (0.5000, 0.1481, 0.6481)  6 Se 2.89-3.09, 1 Na 2.99
Na (0.5000, 0.8519, 0.3519)  6 Se 2.89-3.09, 1 Na 2.99
Na (0.5000, 0.3519, 0.1481)  6 Se 2.89-3.09, 1 Na 2.99
Na (0.5000, 0.6481, 0.8519)  6 Se 2.89-3.09, 1 Na 2.99
Ag (0.0000, 0.0000, 0.0000)  4 Se 2.68
Ag (0.0000, 0.5000, 0.5000)  4 Se 2.68